CrAgBr2F | PBE+U | optimized geometry

- Space-group type: No. 123
- E above lowest polymorph: 0 meV/atom
- E: -4.120 eV/atom

a b c (Å): 5.400 5.400 3.915
angles (deg): 90.00 90.00 90.00
Atoms (fractional coordinates):
Cr1 0.000 0.000 0.000
Ag1 0.500 0.500 0.500
Br1 0.000 0.500 0.000
Br2 0.500 0.000 0.000
F1 0.000 0.000 0.500